# LiY3Hg4

An optimized crystal structure of LiY3Hg4 (PBE-GGA, Alexandria).

## Properties
Fermi-level density of states	6.805	states/eV/f.u.
crystal system	trigonal
electronic total energy	-3.29	eV/atom
calculated formation energy	-474	meV/atom

Lattice parameters (Å, degrees): 9.036 9.036 9.036 33.15 33.15 33.15
Atoms (fractional coordinates):
Li (0.000, 0.000, 0.000)
Y (0.255, 0.255, 0.255)
Y (0.500, 0.500, 0.500)
Y (0.745, 0.745, 0.745)
Hg (0.123, 0.123, 0.123)
Hg (0.375, 0.375, 0.375)
Hg (0.625, 0.625, 0.625)
Hg (0.877, 0.877, 0.877)